A relaxed Ac3CoAg crystal, computed with GGA-PBE.

Results
ρ: 8.658 g/cm³
Space group: C2/m (12)
Calculated volume: 325.2 Å³/cell
Energy above the most stable polymorph in this dataset: 0.029 eV per atom
Electronic total energy: -4.560 eV/atom
Spin magnetization: 0.56 μB per formula unit

```
Ac3CoAg
1.0
8.7116 -2.0594 0.0000
8.7116 2.0594 0.0000
-0.8326 0.0000 9.0631
Ac Co Ag
6 2 2
Cartesian
0.7366 0.0000 2.7803
3.5891 0.0000 6.3091
6.8582 0.0000 0.4880
9.7323 0.0000 8.5751
13.0014 0.0000 2.7540
15.8539 0.0000 6.2828
3.9564 0.0000 0.3177
12.6341 0.0000 8.7454
6.8261 0.0000 3.8103
9.7645 0.0000 5.2528
```

A relaxed Sc2CoAsPt crystal, computed with GGA-PBE.

Results
ρ: 6.126 g/cm³
Space group: P4/mmm (123)
Calculated volume: 113.5 Å³/cell
Electronic total energy: -5.928 eV/atom
Spin magnetization: 1.27 μB per formula unit

```
Sc2CoAsPt
1.0
4.9825 0.0000 0.0000
0.0000 4.9825 0.0000
0.0000 0.0000 4.5737
Sc Co As Pt
2 1 1 1
Cartesian
0.0000 2.4913 0.0000
2.4913 0.0000 0.0000
0.0000 0.0000 2.2868
2.4913 2.4913 0.0000
2.4913 2.4913 2.2868
```

A relaxed Ca3ThIr8 crystal, computed with GGA-PBE.

Results
ρ: 14.158 g/cm³
Space group: R3m (160)
Calculated volume: 221.7 Å³/cell
Electronic total energy: -7.605 eV/atom
Spin magnetization: 0.00 μB per formula unit

```
Ca3ThIr8
1.0
2.6954 1.5562 8.8079
-2.6954 1.5562 8.8079
0.0000 -3.1124 8.8079
Ca Th Ir
3 1 8
Cartesian
0.0000 0.0000 0.0000
0.0000 0.0000 3.2184
0.0000 0.0000 13.0309
0.0000 0.0000 16.4107
0.0000 -1.5620 5.9635
-1.3507 -0.7798 10.3551
-1.3527 0.7810 5.9635
0.0000 0.0000 8.1729
1.3507 -0.7798 10.3551
0.0000 1.5596 10.3551
1.3527 0.7810 5.9635
0.0000 0.0000 21.3706
```

A relaxed Pm6SmSn crystal, computed with GGA-PBE.

Results
ρ: 7.375 g/cm³
Space group: P4/mmm (123)
Calculated volume: 256.5 Å³/cell
Electronic total energy: -4.848 eV/atom
Spin magnetization: 0.00 μB per formula unit

```
Pm6SmSn
1.0
4.9801 0.0000 0.0000
0.0000 4.9801 0.0000
0.0000 0.0000 10.3413
Pm Sm Sn
6 1 1
Cartesian
0.0000 0.0000 0.0000
0.0000 0.0000 5.1706
0.0000 2.4900 2.4811
0.0000 2.4900 7.8601
2.4900 0.0000 2.4811
2.4900 0.0000 7.8601
2.4900 2.4900 5.1706
2.4900 2.4900 0.0000
```

A relaxed MgAu2Cl crystal, computed with GGA-PBE.

Results
ρ: 8.551 g/cm³
Space group: Imm2 (44)
Calculated volume: 88.1 Å³/cell
Energy above the most stable polymorph in this dataset: 0.292 eV per atom
Electronic total energy: -2.860 eV/atom
Energy relative to the elements, uncorrected: -0.361 eV per atom
Spin magnetization: 0.00 μB per formula unit

```
MgAu2Cl
1.0
-1.5120 3.0521 4.7729
1.5120 -3.0521 4.7729
1.5120 3.0521 -4.7729
Mg Au Cl
1 2 1
Cartesian
0.0000 0.0000 0.0000
0.0000 0.0000 4.8732
0.0000 3.0521 2.5359
1.5120 0.0000 1.8044
```

A relaxed YMn2Re crystal, computed with GGA-PBE.

Results
ρ: 9.499 g/cm³
Space group: I-4m2 (119)
Calculated volume: 67.3 Å³/cell
Energy above the most stable polymorph in this dataset: 0.420 eV per atom
Electronic total energy: -8.739 eV/atom
Spin magnetization: 5.21 μB per formula unit

```
YMn2Re
1.0
-1.9757 1.9757 4.3102
1.9757 -1.9757 4.3102
1.9757 1.9757 -4.3102
Y Mn Re
1 2 1
Cartesian
0.0000 0.0000 0.0000
1.9757 0.0000 2.1551
0.0000 0.0000 4.3102
0.0000 1.9757 2.1551
```